# KLa2ZnSe4 | Alexandria via LeMat-Bulk | PBE-GGA | optimized geometry
data_KLa2ZnSe4
_symmetry_space_group_name_H-M 'C m c m'
_symmetry_Int_Tables_number 63
_symmetry_space_group_name_Hall '-C 2c 2'
_cell_length_a 4.268
_cell_length_b 14.929
_cell_length_c 14.961
_cell_angle_alpha 90.00
_cell_angle_beta 90.00
_cell_angle_gamma 90.00
loop_
_atom_site_label
_atom_site_type_symbol
_atom_site_fract_x
_atom_site_fract_y
_atom_site_fract_z
K1 K 0.000 0.111 0.250
La1 La 0.000 0.371 0.053
Zn1 Zn 0.000 0.163 0.750
Se1 Se 0.000 0.000 0.000
Se2 Se 0.000 0.265 0.618
Se3 Se 0.000 0.429 0.250
# ΔE_f (raw)	-1.543	eV/atom
# spin magnetization	0.0	μB/cell
# crystal system	orthorhombic

# Ac3Te5 | Alexandria via LeMat-Bulk | PBE-GGA | optimized geometry
data_Ac3Te5
_symmetry_space_group_name_H-M 'P 63/m c m'
_symmetry_Int_Tables_number 193
_symmetry_space_group_name_Hall '-P 6c 2'
_cell_length_a 10.0339
_cell_length_b 10.0339
_cell_length_c 6.6341
_cell_angle_alpha 90.00
_cell_angle_beta 90.00
_cell_angle_gamma 120.00
loop_
_atom_site_label
_atom_site_type_symbol
_atom_site_fract_x
_atom_site_fract_y
_atom_site_fract_z
Ac1 Ac 0.0000 0.3692 0.2500
Te1 Te 0.0000 0.2794 0.7500
Te2 Te 0.3333 0.6667 0.0000
# ΔE_f (raw)	-1.518	eV/atom
# spin magnetization	0.0	μB/cell
# crystal system	hexagonal
# offset from the most stable computed form	0.000	eV/atom

Copy entry 2 word for word.
# Ac3Te5 | Alexandria via LeMat-Bulk | PBE-GGA | optimized geometry
data_Ac3Te5
_symmetry_space_group_name_H-M 'P 63/m c m'
_symmetry_Int_Tables_number 193
_symmetry_space_group_name_Hall '-P 6c 2'
_cell_length_a 10.0339
_cell_length_b 10.0339
_cell_length_c 6.6341
_cell_angle_alpha 90.00
_cell_angle_beta 90.00
_cell_angle_gamma 120.00
loop_
_atom_site_label
_atom_site_type_symbol
_atom_site_fract_x
_atom_site_fract_y
_atom_site_fract_z
Ac1 Ac 0.0000 0.3692 0.2500
Te1 Te 0.0000 0.2794 0.7500
Te2 Te 0.3333 0.6667 0.0000
# ΔE_f (raw)	-1.518	eV/atom
# spin magnetization	0.0	μB/cell
# crystal system	hexagonal
# offset from the most stable computed form	0.000	eV/atom